[1]
This record from Alexandria describes a relaxed structure of Nb2BiPb. The functional is PBE-GGA.

As for the energy relative to the lowest polymorph listed for this composition: 439 meV per atom. The calculation puts the formation enthalpy at 0 K at 3.35 eV per formula unit. As for the calculated volume: 387.0 Å³ per cell.

Cell and atoms, written as CIF:
```
data_Nb2BiPb
_chemical_formula_sum 'Nb8 Bi4 Pb4'
_cell_length_a 7.909
_cell_length_b 7.909
_cell_length_c 6.187
_cell_angle_alpha 90.00
_cell_angle_beta 90.00
_cell_angle_gamma 90.00
_symmetry_space_group_name_H-M 'I -4 2 d'
_symmetry_Int_Tables_number 122
_symmetry_space_group_name_Hall 'I -4 2bw'
loop_
_atom_site_label
_atom_site_fract_x
_atom_site_fract_y
_atom_site_fract_z
Nb1 0.244 0.250 0.125
Bi1 0.000 0.000 0.000
Pb1 0.000 0.000 0.500
```


[2]
This record from Alexandria describes a relaxed structure of NbBi3Pb. The functional is PBE-GGA.

As for the energy relative to the lowest polymorph listed for this composition: 1206 meV per atom. The calculation puts the formation enthalpy at 0 K at 8.19 eV per formula unit. As for the calculated volume: 191.6 Å³ per cell.

Cell and atoms, written as CIF:
```
data_NbBi3Pb
_chemical_formula_sum 'Nb1 Bi3 Pb1'
_cell_length_a 5.765
_cell_length_b 5.765
_cell_length_c 5.765
_cell_angle_alpha 90.00
_cell_angle_beta 90.00
_cell_angle_gamma 90.00
_symmetry_space_group_name_H-M 'P m -3 m'
_symmetry_Int_Tables_number 221
_symmetry_space_group_name_Hall '-P 4 2 3'
loop_
_atom_site_label
_atom_site_fract_x
_atom_site_fract_y
_atom_site_fract_z
Nb1 0.000 0.000 0.000
Bi1 0.000 0.500 0.500
Pb1 0.500 0.500 0.500
```


[3]
This record from Alexandria describes a relaxed structure of NbBi3Pb. The functional is PBE-GGA.

As for the energy relative to the lowest polymorph listed for this composition: 0 meV per atom. The calculation puts the formation enthalpy at 0 K at 2.16 eV per formula unit. As for the calculated volume: 170.7 Å³ per cell.

Cell and atoms, written as CIF:
```
data_NbBi3Pb
_chemical_formula_sum 'Nb1 Bi3 Pb1'
_cell_length_a 5.547
_cell_length_b 5.547
_cell_length_c 5.547
_cell_angle_alpha 90.00
_cell_angle_beta 90.00
_cell_angle_gamma 90.00
_symmetry_space_group_name_H-M 'P m -3 m'
_symmetry_Int_Tables_number 221
_symmetry_space_group_name_Hall '-P 4 2 3'
loop_
_atom_site_label
_atom_site_fract_x
_atom_site_fract_y
_atom_site_fract_z
Nb1 0.000 0.000 0.000
Bi1 0.000 0.000 0.500
Pb1 0.500 0.500 0.500
```


[4]
This record from Alexandria describes a relaxed structure of Nb2BiPb. The functional is PBE-GGA.

As for the energy relative to the lowest polymorph listed for this composition: 0 meV per atom. The calculation puts the formation enthalpy at 0 K at 1.60 eV per formula unit. As for the calculated volume: 344.8 Å³ per cell.

Cell and atoms, written as CIF:
```
data_Nb2BiPb
_chemical_formula_sum 'Nb8 Bi4 Pb4'
_cell_length_a 7.012
_cell_length_b 7.012
_cell_length_c 7.012
_cell_angle_alpha 90.00
_cell_angle_beta 90.00
_cell_angle_gamma 90.00
_symmetry_space_group_name_H-M 'F m -3 m'
_symmetry_Int_Tables_number 225
_symmetry_space_group_name_Hall '-F 4 2 3'
loop_
_atom_site_label
_atom_site_fract_x
_atom_site_fract_y
_atom_site_fract_z
Nb1 0.250 0.250 0.250
Bi1 0.000 0.000 0.000
Pb1 0.000 0.000 0.500
```


[5]
This record from Alexandria describes a relaxed structure of NbBiPb3. The functional is PBE-GGA.

As for the energy relative to the lowest polymorph listed for this composition: 1044 meV per atom. The calculation puts the formation enthalpy at 0 K at 8.04 eV per formula unit. As for the calculated volume: 203.5 Å³ per cell.

Cell and atoms, written as CIF:
```
data_NbBiPb3
_chemical_formula_sum 'Nb1 Bi1 Pb3'
_cell_length_a 5.882
_cell_length_b 5.882
_cell_length_c 5.882
_cell_angle_alpha 90.00
_cell_angle_beta 90.00
_cell_angle_gamma 90.00
_symmetry_space_group_name_H-M 'P m -3 m'
_symmetry_Int_Tables_number 221
_symmetry_space_group_name_Hall '-P 4 2 3'
loop_
_atom_site_label
_atom_site_fract_x
_atom_site_fract_y
_atom_site_fract_z
Nb1 0.000 0.000 0.000
Bi1 0.500 0.500 0.500
Pb1 0.000 0.500 0.500
```


[6]
This record from Alexandria describes a relaxed structure of NbBi2SbPb. The functional is PBE-GGA.

As for the calculated volume: 182.8 Å³ per cell. The uncorrected formation energy comes out at 0.9121 eV/atom.

Cell and atoms, written as CIF:
```
data_NbBi2SbPb
_chemical_formula_sum 'Nb1 Bi2 Sb1 Pb1'
_cell_length_a 5.899
_cell_length_b 5.899
_cell_length_c 5.253
_cell_angle_alpha 90.00
_cell_angle_beta 90.00
_cell_angle_gamma 90.00
_symmetry_space_group_name_H-M 'P 4/m m m'
_symmetry_Int_Tables_number 123
_symmetry_space_group_name_Hall '-P 4 2'
loop_
_atom_site_label
_atom_site_fract_x
_atom_site_fract_y
_atom_site_fract_z
Nb1 0.000 0.000 0.000
Bi1 0.000 0.500 0.500
Sb1 0.000 0.000 0.500
Pb1 0.500 0.500 0.000
```


[7]
This record from Alexandria describes a relaxed structure of Nb2BiPbSe. The functional is PBE-GGA.

As for the calculated volume: 166.6 Å³ per cell. The uncorrected formation energy comes out at 1.7386 eV/atom.

Cell and atoms, written as CIF:
```
data_Nb2BiPbSe
_chemical_formula_sum 'Nb2 Bi1 Pb1 Se1'
_cell_length_a 5.411
_cell_length_b 5.411
_cell_length_c 5.689
_cell_angle_alpha 90.00
_cell_angle_beta 90.00
_cell_angle_gamma 90.00
_symmetry_space_group_name_H-M 'P 4/m m m'
_symmetry_Int_Tables_number 123
_symmetry_space_group_name_Hall '-P 4 2'
loop_
_atom_site_label
_atom_site_fract_x
_atom_site_fract_y
_atom_site_fract_z
Nb1 0.000 0.500 0.000
Bi1 0.000 0.000 0.500
Pb1 0.000 0.000 0.000
Se1 0.500 0.500 0.500
```


[8]
This record from Alexandria describes a relaxed structure of NbBiPbSe2. The functional is PBE-GGA.

As for the calculated volume: 157.5 Å³ per cell. The uncorrected formation energy comes out at 1.1788 eV/atom.

Cell and atoms, written as CIF:
```
data_NbBiPbSe2
_chemical_formula_sum 'Nb1 Bi1 Pb1 Se2'
_cell_length_a 5.366
_cell_length_b 5.366
_cell_length_c 5.468
_cell_angle_alpha 90.00
_cell_angle_beta 90.00
_cell_angle_gamma 90.00
_symmetry_space_group_name_H-M 'P 4/m m m'
_symmetry_Int_Tables_number 123
_symmetry_space_group_name_Hall '-P 4 2'
loop_
_atom_site_label
_atom_site_fract_x
_atom_site_fract_y
_atom_site_fract_z
Nb1 0.000 0.000 0.000
Bi1 0.500 0.500 0.000
Pb1 0.000 0.000 0.500
Se1 0.000 0.500 0.500
```


[9]
This record from Alexandria describes a relaxed structure of NbBiPd3. The functional is PBE-GGA.

As for the energy relative to the lowest polymorph listed for this composition: 0 meV per atom. The calculation puts the formation enthalpy at 0 K at 3.37 eV per formula unit. As for the calculated volume: 117.1 Å³ per cell.

Cell and atoms, written as CIF:
```
data_NbBiPd3
_chemical_formula_sum 'Nb1 Bi1 Pd3'
_cell_length_a 4.893
_cell_length_b 4.893
_cell_length_c 4.893
_cell_angle_alpha 90.00
_cell_angle_beta 90.00
_cell_angle_gamma 90.00
_symmetry_space_group_name_H-M 'P m -3 m'
_symmetry_Int_Tables_number 221
_symmetry_space_group_name_Hall '-P 4 2 3'
loop_
_atom_site_label
_atom_site_fract_x
_atom_site_fract_y
_atom_site_fract_z
Nb1 0.000 0.000 0.000
Bi1 0.500 0.500 0.500
Pd1 0.000 0.000 0.500
```


[10]
This record from Alexandria describes a relaxed structure of NbBiPd. The functional is PBE-GGA.

The calculation puts the formation enthalpy at 0 K at -0.60 eV per formula unit. As for the calculated volume: 249.5 Å³ per cell.

Cell and atoms, written as CIF:
```
data_NbBiPd
_chemical_formula_sum 'Nb4 Bi4 Pd4'
_cell_length_a 4.134
_cell_length_b 4.134
_cell_length_c 14.602
_cell_angle_alpha 90.00
_cell_angle_beta 90.00
_cell_angle_gamma 90.00
_symmetry_space_group_name_H-M 'I 4/m m m'
_symmetry_Int_Tables_number 139
_symmetry_space_group_name_Hall '-I 4 2'
loop_
_atom_site_label
_atom_site_fract_x
_atom_site_fract_y
_atom_site_fract_z
Nb1 0.000 0.500 0.000
Bi1 0.000 0.000 0.162
Pd1 0.000 0.000 0.365
```


The following electronic total energy values (in eV/cell) correspond, in order, to the records above: -97.5 -17.2 -23.3 -104.5 -17.0 -21.1 -22.5 -18.7 -26.2 -79.0.